--- one ---
# CaAgF2

A relaxed structure of CaAgF2 (PBE, the Alexandria database).

Space-group type: I-42d (122)
DOS(E_F): 1.080 states/eV per cell

Geometry as extended XYZ:
```
16
Lattice="5.900 0.000 0.000 0.000 5.900 0.000 0.000 0.000 10.833" Properties=species:S:1:pos:R:3 pbc="T T T"
Ca 0.000 0.000 0.000
Ca 0.000 2.950 2.708
Ca 2.950 0.000 8.125
Ca 2.950 2.950 5.417
Ag 0.000 0.000 5.417
Ag 0.000 2.950 8.125
Ag 2.950 0.000 2.708
Ag 2.950 2.950 0.000
F 0.814 1.475 1.354
F 1.475 3.764 4.063
F 1.475 5.086 9.479
F 2.136 1.475 6.771
F 3.764 4.425 6.771
F 4.425 0.814 9.479
F 4.425 2.136 4.063
F 5.086 4.425 1.354
```


--- two ---
# CaAgF2

A relaxed structure of CaAgF2 (PBE, the Alexandria database).

Space-group type: R-3m (166)
DOS(E_F): 1.169 states/eV per cell

Geometry as extended XYZ:
```
12
Lattice="3.462 0.000 0.000 -1.731 2.998 0.000 0.000 0.000 25.261" Properties=species:S:1:pos:R:3 pbc="T T T"
Ca 0.000 0.000 0.000
Ca 0.000 1.999 16.841
Ca 1.731 0.999 8.420
Ag 0.000 0.000 12.631
Ag 0.000 1.999 4.210
Ag 1.731 0.999 21.051
F 0.000 0.000 9.454
F 0.000 0.000 15.807
F 0.000 1.999 1.033
F 0.000 1.999 7.387
F 1.731 0.999 17.874
F 1.731 0.999 24.228
```


Quick ranking, most stable first: two, one.


--- one ---
# CaAgF2

A relaxed structure of CaAgF2 (PBE, the Alexandria database).

Space-group type: R-3m (166)
DOS(E_F): 2.251 states/eV per cell

Geometry as extended XYZ:
```
12
Lattice="4.058 0.000 0.000 -2.029 3.515 0.000 0.000 0.000 18.669" Properties=species:S:1:pos:R:3 pbc="T T T"
Ca 0.000 0.000 0.000
Ca 0.000 2.343 12.446
Ca 2.029 1.172 6.223
Ag 0.000 0.000 9.335
Ag 0.000 2.343 3.112
Ag 2.029 1.172 15.558
F 0.000 0.000 2.114
F 0.000 0.000 16.555
F 0.000 2.343 10.332
F 0.000 2.343 14.560
F 2.029 1.172 4.109
F 2.029 1.172 8.337
```


--- two ---
# CaAgF2

A relaxed structure of CaAgF2 (PBE, the Alexandria database).

Space-group type: Fm-3m (225)
DOS(E_F): 9.197 states/eV per cell

Geometry as extended XYZ:
```
16
Lattice="6.309 0.000 0.000 0.000 6.309 0.000 0.000 0.000 6.309" Properties=species:S:1:pos:R:3 pbc="T T T"
Ca 0.000 0.000 0.000
Ca 0.000 3.154 3.154
Ca 3.154 0.000 3.154
Ca 3.154 3.154 0.000
Ag 0.000 0.000 3.154
Ag 0.000 3.154 0.000
Ag 3.154 0.000 0.000
Ag 3.154 3.154 3.154
F 1.577 1.577 1.577
F 1.577 1.577 4.732
F 1.577 4.732 1.577
F 1.577 4.732 4.732
F 4.732 1.577 1.577
F 4.732 1.577 4.732
F 4.732 4.732 1.577
F 4.732 4.732 4.732
```


Quick ranking, most stable first: two, one.


--- one ---
# CaAg2F4

A relaxed structure of CaAg2F4 (PBE, the Alexandria database).

Space-group type: Cmmm (65)

Geometry as extended XYZ:
```
14
Lattice="6.049 0.000 0.000 0.000 8.958 0.000 0.000 0.000 3.869" Properties=species:S:1:pos:R:3 pbc="T T T"
Ca 0.000 0.000 0.000
Ca 3.024 4.479 0.000
Ag 0.000 2.797 1.935
Ag 0.000 6.161 1.935
Ag 3.024 1.682 1.935
Ag 3.024 7.276 1.935
F 1.276 0.000 1.935
F 1.512 2.239 0.000
F 1.512 6.718 0.000
F 1.748 4.479 1.935
F 4.301 4.479 1.935
F 4.536 2.239 0.000
F 4.536 6.718 0.000
F 4.772 0.000 1.935
```


--- two ---
# CaAg2F4

A relaxed structure of CaAg2F4 (PBE, the Alexandria database).

Space-group type: Cmmm (65)

Geometry as extended XYZ:
```
14
Lattice="6.966 0.000 0.000 0.000 10.179 0.000 0.000 0.000 3.600" Properties=species:S:1:pos:R:3 pbc="T T T"
Ca 0.000 0.000 0.000
Ca 3.483 5.090 0.000
Ag 1.741 2.545 1.800
Ag 1.741 7.634 1.800
Ag 5.224 2.545 1.800
Ag 5.224 7.634 1.800
F 0.000 2.268 0.000
F 0.000 7.911 0.000
F 1.407 0.000 1.800
F 2.076 5.090 1.800
F 3.483 2.822 0.000
F 3.483 7.357 0.000
F 4.890 5.090 1.800
F 5.559 0.000 1.800
```


Quick ranking, most stable first: two, one.


--- one ---
# CaAg3F

A relaxed structure of CaAg3F (PBE, the Alexandria database).

Space-group type: Pm-3m (221)
DOS(E_F): 10.629 states/eV per cell

Geometry as extended XYZ:
```
5
Lattice="5.616 0.000 0.000 0.000 5.616 0.000 0.000 0.000 5.616" Properties=species:S:1:pos:R:3 pbc="T T T"
Ca 0.000 0.000 0.000
Ag 0.000 0.000 2.808
Ag 0.000 2.808 0.000
Ag 2.808 0.000 0.000
F 2.808 2.808 2.808
```


--- two ---
# CaAg3F

A relaxed structure of CaAg3F (PBE, the Alexandria database).

Space-group type: Pm-3m (221)
DOS(E_F): 2.771 states/eV per cell

Geometry as extended XYZ:
```
5
Lattice="4.782 0.000 0.000 0.000 4.782 0.000 0.000 0.000 4.782" Properties=species:S:1:pos:R:3 pbc="T T T"
Ca 0.000 0.000 0.000
Ag 0.000 2.391 2.391
Ag 2.391 0.000 2.391
Ag 2.391 2.391 0.000
F 2.391 2.391 2.391
```


Quick ranking, most stable first: two, one.


--- one ---
# CaAg2F8

A relaxed structure of CaAg2F8 (PBE, the Alexandria database).

Space-group type: C2/c (15)

Geometry as extended XYZ:
```
22
Lattice="4.409 -5.126 0.000 4.409 5.126 0.000 -1.650 0.000 9.352" Properties=species:S:1:pos:R:3 pbc="T T T"
Ca 3.171 3.148 7.014
Ca 3.996 -3.148 2.338
Ag 0.661 0.823 5.416
Ag 1.486 -0.823 0.740
Ag 5.681 0.823 8.612
Ag 6.506 -0.823 3.936
F 0.109 0.071 3.665
F -0.716 -0.071 8.341
F 1.758 0.962 1.483
F 1.427 1.608 7.052
F 2.704 2.580 4.731
F 0.933 -0.962 6.159
F 3.638 2.580 9.297
F 2.252 -1.608 2.376
F 4.915 1.608 6.976
F 3.529 -2.580 0.055
F 6.234 0.962 3.193
F 4.463 -2.580 4.621
F 5.740 -1.608 2.300
F 5.409 -0.962 7.869
F 7.884 0.071 1.011
F 7.058 -0.071 5.687
```


--- two ---
# CaAg2F8

A relaxed structure of CaAg2F8 (PBE, the Alexandria database).

Space-group type: I422 (97)

Geometry as extended XYZ:
```
11
Lattice="-2.823 2.823 5.359 2.823 -2.823 5.359 2.823 2.823 -5.359" Properties=species:S:1:pos:R:3 pbc="T T T"
Ca 0.000 0.000 0.000
Ag 2.823 0.000 2.679
Ag 0.000 2.823 2.679
F 3.885 0.947 -1.322
F 0.947 1.761 -1.322
F 1.761 0.947 1.322
F 1.876 -1.062 6.681
F 1.876 1.062 4.037
F -1.062 1.876 4.037
F 0.947 3.885 1.322
F 1.062 1.876 6.681
```


Quick ranking, most stable first: two, one.


--- one ---
# CaAgN2F

A relaxed structure of CaAgN2F (PBE, the Alexandria database).

Space-group type: P4/mmm (123)
DOS(E_F): 1.650 states/eV per cell

Geometry as extended XYZ:
```
5
Lattice="4.745 0.000 0.000 0.000 4.745 0.000 0.000 0.000 4.258" Properties=species:S:1:pos:R:3 pbc="T T T"
Ca 0.000 0.000 0.000
Ag 2.372 2.372 2.129
N 0.000 2.372 0.000
N 2.372 0.000 0.000
F 0.000 0.000 2.129
```


--- two ---
# CaAgN2F

A relaxed structure of CaAgN2F (PBE, the Alexandria database).

Space-group type: P4/mmm (123)
DOS(E_F): 1.721 states/eV per cell

Geometry as extended XYZ:
```
5
Lattice="4.014 0.000 0.000 0.000 4.014 0.000 0.000 0.000 4.750" Properties=species:S:1:pos:R:3 pbc="T T T"
Ca 0.000 0.000 0.000
Ag 2.007 2.007 2.375
N 0.000 2.007 2.375
N 2.007 0.000 2.375
F 2.007 2.007 0.000
```


Quick ranking, most stable first: two, one.


--- one ---
# CaAgNF2

A relaxed structure of CaAgNF2 (PBE, the Alexandria database).

Space-group type: P4/mmm (123)
DOS(E_F): 2.497 states/eV per cell

Geometry as extended XYZ:
```
5
Lattice="4.428 0.000 0.000 0.000 4.428 0.000 0.000 0.000 4.042" Properties=species:S:1:pos:R:3 pbc="T T T"
Ca 0.000 0.000 0.000
Ag 2.214 2.214 2.021
N 2.214 2.214 0.000
F 0.000 2.214 2.021
F 2.214 0.000 2.021
```


--- two ---
# CaAgNF2

A relaxed structure of CaAgNF2 (PBE, the Alexandria database).

Space-group type: P4/mmm (123)
DOS(E_F): 1.858 states/eV per cell

Geometry as extended XYZ:
```
5
Lattice="4.319 0.000 0.000 0.000 4.319 0.000 0.000 0.000 4.913" Properties=species:S:1:pos:R:3 pbc="T T T"
Ca 0.000 0.000 0.000
Ag 2.159 2.159 2.456
N 0.000 0.000 2.456
F 0.000 2.159 0.000
F 2.159 0.000 0.000
```


Quick ranking, most stable first: two, one.


--- one ---
# Na2CaAgF

A relaxed structure of Na2CaAgF (PBE, the Alexandria database).

Space-group type: P4/mmm (123)
DOS(E_F): 2.253 states/eV per cell

Geometry as extended XYZ:
```
5
Lattice="4.799 0.000 0.000 0.000 4.799 0.000 0.000 0.000 4.814" Properties=species:S:1:pos:R:3 pbc="T T T"
Na 0.000 2.399 0.000
Na 2.399 0.000 0.000
Ca 0.000 0.000 2.407
Ag 2.399 2.399 2.407
F 0.000 0.000 0.000
```


--- two ---
# Na2CaAgF

A relaxed structure of Na2CaAgF (PBE, the Alexandria database).

Space-group type: P4/mmm (123)
DOS(E_F): 1.818 states/eV per cell

Geometry as extended XYZ:
```
5
Lattice="6.793 0.000 0.000 0.000 6.793 0.000 0.000 0.000 5.541" Properties=species:S:1:pos:R:3 pbc="T T T"
Na 0.000 3.396 0.000
Na 3.396 0.000 0.000
Ca 0.000 0.000 0.000
Ag 0.000 0.000 2.770
F 3.396 3.396 2.770
```


Quick ranking, most stable first: one, two.


--- one ---
# Rb2CaAgF6

A relaxed structure of Rb2CaAgF6 (PBE, the Alexandria database).

Space-group type: P4/mmm (123)
DOS(E_F): 2.112 states/eV per cell

Geometry as extended XYZ:
```
10
Lattice="4.478 0.000 0.000 0.000 4.478 0.000 0.000 0.000 8.972" Properties=species:S:1:pos:R:3 pbc="T T T"
Rb 0.000 0.000 2.171
Rb 0.000 0.000 6.801
Ca 2.239 2.239 4.486
Ag 2.239 2.239 0.000
F 0.000 2.239 0.000
F 0.000 2.239 4.486
F 2.239 0.000 0.000
F 2.239 0.000 4.486
F 2.239 2.239 2.222
F 2.239 2.239 6.750
```


--- two ---
# Rb2CaAgF6

A relaxed structure of Rb2CaAgF6 (PBE, the Alexandria database).

Space-group type: I4/mmm (139)
DOS(E_F): 0.053 states/eV per cell

Geometry as extended XYZ:
```
10
Lattice="-3.230 3.230 4.364 3.230 -3.230 4.364 3.230 3.230 -4.364" Properties=species:S:1:pos:R:3 pbc="T T T"
Rb 3.230 0.000 2.182
Rb 0.000 3.230 2.182
Ca 0.000 0.000 0.000
Ag 0.000 0.000 4.364
F 1.579 1.579 0.000
F 1.651 -1.651 4.364
F 0.000 0.000 2.266
F 0.000 0.000 6.462
F -1.651 1.651 4.364
F 1.651 1.651 4.364
```


Quick ranking, most stable first: one, two.


--- one ---
# CaFe3Ag

A relaxed structure of CaFe3Ag (PBE, the Alexandria database).

Space-group type: Pm-3m (221)
DOS(E_F): 7.794 states/eV per cell

Geometry as extended XYZ:
```
5
Lattice="4.816 0.000 0.000 0.000 4.816 0.000 0.000 0.000 4.816" Properties=species:S:1:pos:R:3 pbc="T T T"
Ca 0.000 0.000 0.000
Fe 0.000 2.408 2.408
Fe 2.408 0.000 2.408
Fe 2.408 2.408 0.000
Ag 2.408 2.408 2.408
```


--- two ---
# CaFe3Ag

A relaxed structure of CaFe3Ag (PBE, the Alexandria database).

Space-group type: Pm-3m (221)
DOS(E_F): 5.616 states/eV per cell

Geometry as extended XYZ:
```
5
Lattice="4.552 0.000 0.000 0.000 4.552 0.000 0.000 0.000 4.552" Properties=species:S:1:pos:R:3 pbc="T T T"
Ca 0.000 0.000 0.000
Fe 0.000 0.000 2.276
Fe 0.000 2.276 0.000
Fe 2.276 0.000 0.000
Ag 2.276 2.276 2.276
```


Quick ranking, most stable first: one, two.


--- one ---
# Ca2FeAg

A relaxed structure of Ca2FeAg (PBE, the Alexandria database).

Space-group type: Pm (6)
DOS(E_F): 6.748 states/eV per cell

Geometry as extended XYZ:
```
4
Lattice="4.142 0.000 0.000 0.000 4.476 0.000 -2.061 0.000 5.577" Properties=species:S:1:pos:R:3 pbc="T T T"
Ca 0.000 0.000 0.000
Ca 0.004 2.238 3.254
Fe 2.071 2.238 0.933
Ag 2.073 0.000 2.331
```


--- two ---
# Ca2FeAg

A relaxed structure of Ca2FeAg (PBE, the Alexandria database).

Space-group type: P4/mmm (123)
DOS(E_F): 4.640 states/eV per cell

Geometry as extended XYZ:
```
4
Lattice="3.467 0.000 0.000 0.000 3.467 0.000 0.000 0.000 7.922" Properties=species:S:1:pos:R:3 pbc="T T T"
Ca 0.000 0.000 1.878
Ca 0.000 0.000 6.044
Fe 1.734 1.734 0.000
Ag 1.734 1.734 3.961
```


--- three ---
# Ca2FeAg

A relaxed structure of Ca2FeAg (PBE, the Alexandria database).

Space-group type: P4mm (99)
DOS(E_F): 5.659 states/eV per cell

Geometry as extended XYZ:
```
4
Lattice="3.534 0.000 0.000 0.000 3.534 0.000 0.000 0.000 8.225" Properties=species:S:1:pos:R:3 pbc="T T T"
Ca 0.000 0.000 0.000
Ca 1.767 1.767 3.154
Fe 0.000 0.000 5.085
Ag 1.767 1.767 6.255
```


Quick ranking, most stable first: one, two, three.


--- one ---
# Ca2FeAg

A relaxed structure of Ca2FeAg (PBE, the Alexandria database).

Space-group type: Imm2 (44)
DOS(E_F): 9.383 states/eV per cell

Geometry as extended XYZ:
```
8
Lattice="3.524 0.000 0.000 0.000 5.046 0.000 0.000 0.000 10.975" Properties=species:S:1:pos:R:3 pbc="T T T"
Ca 0.000 0.000 0.000
Ca 0.000 2.523 2.296
Ca 1.762 0.000 7.783
Ca 1.762 2.523 5.487
Fe 0.000 2.523 8.355
Fe 1.762 0.000 2.868
Ag 0.000 0.000 4.856
Ag 1.762 2.523 10.343
```


--- two ---
# Ca2FeAg

A relaxed structure of Ca2FeAg (PBE, the Alexandria database).

Space-group type: R-3m (166)
DOS(E_F): 11.205 states/eV per cell

Geometry as extended XYZ:
```
12
Lattice="3.623 0.000 0.000 -1.812 3.138 0.000 0.000 0.000 27.151" Properties=species:S:1:pos:R:3 pbc="T T T"
Ca 0.000 0.000 6.687
Ca 0.000 0.000 20.464
Ca 0.000 2.092 11.414
Ca 0.000 2.092 24.787
Ca 1.812 1.046 2.364
Ca 1.812 1.046 15.737
Fe 0.000 0.000 13.576
Fe 0.000 2.092 4.525
Fe 1.812 1.046 22.626
Ag 0.000 0.000 0.000
Ag 0.000 2.092 18.101
Ag 1.812 1.046 9.050
```


--- three ---
# Ca2FeAg

A relaxed structure of Ca2FeAg (PBE, the Alexandria database).

Space-group type: I-4m2 (119)
DOS(E_F): 16.330 states/eV per cell

Geometry as extended XYZ:
```
8
Lattice="4.364 0.000 0.000 0.000 4.364 0.000 0.000 0.000 10.026" Properties=species:S:1:pos:R:3 pbc="T T T"
Ca 0.000 0.000 0.000
Ca 0.000 2.182 2.507
Ca 2.182 0.000 7.520
Ca 2.182 2.182 5.013
Fe 0.000 2.182 7.520
Fe 2.182 0.000 2.507
Ag 0.000 0.000 5.013
Ag 2.182 2.182 0.000
```


--- four ---
# Ca2FeAg

A relaxed structure of Ca2FeAg (PBE, the Alexandria database).

Space-group type: F-43m (216)
DOS(E_F): 19.974 states/eV per cell

Geometry as extended XYZ:
```
16
Lattice="7.168 0.000 0.000 0.000 7.168 0.000 0.000 0.000 7.168" Properties=species:S:1:pos:R:3 pbc="T T T"
Ca 0.000 0.000 0.000
Ca 0.000 3.584 3.584
Ca 1.792 1.792 1.792
Ca 1.792 5.376 5.376
Ca 3.584 0.000 3.584
Ca 3.584 3.584 0.000
Ca 5.376 1.792 5.376
Ca 5.376 5.376 1.792
Fe 1.792 1.792 5.376
Fe 1.792 5.376 1.792
Fe 5.376 1.792 1.792
Fe 5.376 5.376 5.376
Ag 0.000 0.000 3.584
Ag 0.000 3.584 0.000
Ag 3.584 0.000 0.000
Ag 3.584 3.584 3.584
```


Quick ranking, most stable first: one, three, four, two.